Record 1
# Ca2CoSe | Alexandria via LeMat-Bulk | meta-GGA SCAN | PBEsol geometry
# **E_form (uncorrected)**: -0.55 eV per atom
# **Fermi-level density of states**: 2.96 states/eV/f.u.
# **Total DFT energy (no corrections)**: -14.731 eV/atom
# **Size of the total moment**: 0.51 μB/f.u.
data_Ca2CoSe
_symmetry_space_group_name_H-M 'R 3 m'
_symmetry_Int_Tables_number 160
_symmetry_space_group_name_Hall 'R 3 -2"'
_cell_length_a 3.9540
_cell_length_b 3.9540
_cell_length_c 21.8529
_cell_angle_alpha 90.00
_cell_angle_beta 90.00
_cell_angle_gamma 120.00
loop_
_atom_site_label
_atom_site_fract_x
_atom_site_fract_y
_atom_site_fract_z
_atom_site_occupancy
Ca1 0.0000 0.0000 0.0000 1
Ca2 0.0000 0.0000 0.1775 1
Co1 0.0000 0.0000 0.4215 1
Se1 0.0000 0.0000 0.7558 1

---

Record 2
# CrRe2Hg | Alexandria via LeMat-Bulk | meta-GGA SCAN | PBEsol geometry
# **Fermi-level density of states**: 3.23 states/eV/f.u.
# **Total DFT energy (no corrections)**: -56.438 eV/atom
# **Size of the total moment**: 1.30 μB/f.u.
# **E_form**: 0.75 eV per atom
data_CrRe2Hg
_symmetry_space_group_name_H-M 'C m m m'
_symmetry_Int_Tables_number 65
_symmetry_space_group_name_Hall '-C 2 2'
_cell_length_a 5.3743
_cell_length_b 7.7807
_cell_length_c 2.8474
_cell_angle_alpha 90.00
_cell_angle_beta 90.00
_cell_angle_gamma 90.00
loop_
_atom_site_label
_atom_site_fract_x
_atom_site_fract_y
_atom_site_fract_z
_atom_site_occupancy
Cr1 0.0000 0.0000 0.0000 1
Re1 0.2500 0.2500 0.5000 1
Hg1 0.0000 0.5000 0.0000 1

---

Record 3
# Ta2RhAu | Alexandria via LeMat-Bulk | meta-GGA SCAN | PBEsol geometry
# **Fermi-level density of states**: 4.17 states/eV/f.u.
# **Total DFT energy (no corrections)**: -59.215 eV/atom
# **Size of the total moment**: 0.00 μB/f.u.
# **E_form**: -0.19 eV per atom
data_Ta2RhAu
_symmetry_space_group_name_H-M 'I -4 m 2'
_symmetry_Int_Tables_number 119
_symmetry_space_group_name_Hall 'I -4 -2'
_cell_length_a 3.9500
_cell_length_b 3.9500
_cell_length_c 8.3155
_cell_angle_alpha 90.00
_cell_angle_beta 90.00
_cell_angle_gamma 90.00
loop_
_atom_site_label
_atom_site_fract_x
_atom_site_fract_y
_atom_site_fract_z
_atom_site_occupancy
Ta1 0.0000 0.0000 0.0000 1
Ta2 0.0000 0.5000 0.2500 1
Rh1 0.0000 0.5000 0.7500 1
Au1 0.0000 0.0000 0.5000 1

---

Record 4
# LaMgCl2 | Alexandria via LeMat-Bulk | meta-GGA SCAN | PBEsol geometry
# **E_form (uncorrected)**: -1.03 eV per atom
# **Fermi-level density of states**: 2.91 states/eV/f.u.
# **Total DFT energy (no corrections)**: -17.038 eV/atom
# **Size of the total moment**: 2.55 μB/f.u.
data_LaMgCl2
_symmetry_space_group_name_H-M 'I -4 2 d'
_symmetry_Int_Tables_number 122
_symmetry_space_group_name_Hall 'I -4 2bw'
_cell_length_a 6.1708
_cell_length_b 6.1708
_cell_length_c 12.4955
_cell_angle_alpha 90.00
_cell_angle_beta 90.00
_cell_angle_gamma 90.00
loop_
_atom_site_label
_atom_site_fract_x
_atom_site_fract_y
_atom_site_fract_z
_atom_site_occupancy
La1 0.0000 0.0000 0.0000 1
Mg1 0.0000 0.0000 0.5000 1
Cl1 0.1833 0.2500 0.6250 1

---

Record 5
# Zr2Sb | Alexandria via LeMat-Bulk | meta-GGA SCAN | PBEsol geometry
# **E_form (uncorrected)**: -0.74 eV per atom
# **Fermi-level density of states**: 2.14 states/eV/f.u.
# **Total DFT energy (no corrections)**: -33.626 eV/atom
# **Size of the total moment**: 0.00 μB/f.u.
data_Zr2Sb
_symmetry_space_group_name_H-M 'I 4/m m m'
_symmetry_Int_Tables_number 139
_symmetry_space_group_name_Hall '-I 4 2'
_cell_length_a 4.0796
_cell_length_b 4.0796
_cell_length_c 15.8030
_cell_angle_alpha 90.00
_cell_angle_beta 90.00
_cell_angle_gamma 90.00
loop_
_atom_site_label
_atom_site_fract_x
_atom_site_fract_y
_atom_site_fract_z
_atom_site_occupancy
Zr1 0.0000 0.0000 0.1774 1
Zr2 0.0000 0.5000 0.0000 1
Sb1 0.0000 0.0000 0.3616 1

---

Record 6
# SrRu3 | Alexandria via LeMat-Bulk | meta-GGA SCAN | PBEsol geometry
# **Fermi-level density of states**: 3.50 states/eV/f.u.
# **Total DFT energy (no corrections)**: -30.911 eV/atom
# **Size of the total moment**: 0.00 μB/f.u.
# **E_form**: 0.78 eV per atom
data_SrRu3
_symmetry_space_group_name_H-M 'P -6 m 2'
_symmetry_Int_Tables_number 187
_symmetry_space_group_name_Hall 'P -6 2'
_cell_length_a 2.8012
_cell_length_b 2.8012
_cell_length_c 9.5299
_cell_angle_alpha 90.00
_cell_angle_beta 90.00
_cell_angle_gamma 120.00
loop_
_atom_site_label
_atom_site_fract_x
_atom_site_fract_y
_atom_site_fract_z
_atom_site_occupancy
Sr1 0.0000 0.0000 0.0000 1
Ru1 0.0000 0.0000 0.5000 1
Ru2 0.6667 0.3333 0.2880 1

---

Record 7
# ScCr2Ru2 | Alexandria via LeMat-Bulk | meta-GGA SCAN | PBEsol geometry
# **Fermi-level density of states**: 4.37 states/eV/f.u.
# **Total DFT energy (no corrections)**: -24.161 eV/atom
# **Size of the total moment**: 0.00 μB/f.u.
# **E_form**: -0.03 eV per atom
data_ScCr2Ru2
_symmetry_space_group_name_H-M 'I 4/m m m'
_symmetry_Int_Tables_number 139
_symmetry_space_group_name_Hall '-I 4 2'
_cell_length_a 4.0610
_cell_length_b 4.0610
_cell_length_c 9.1668
_cell_angle_alpha 90.00
_cell_angle_beta 90.00
_cell_angle_gamma 90.00
loop_
_atom_site_label
_atom_site_fract_x
_atom_site_fract_y
_atom_site_fract_z
_atom_site_occupancy
Sc1 0.0000 0.0000 0.0000 1
Cr1 0.0000 0.0000 0.3827 1
Ru1 0.0000 0.5000 0.2500 1

---

Record 8
# K2InAu | Alexandria via LeMat-Bulk | meta-GGA SCAN | PBEsol geometry
# **Fermi-level density of states**: 2.35 states/eV/f.u.
# **Total DFT energy (no corrections)**: -30.096 eV/atom
# **Size of the total moment**: 0.07 μB/f.u.
# **E_form**: -0.30 eV per atom
data_K2InAu
_symmetry_space_group_name_H-M 'A m m 2'
_symmetry_Int_Tables_number 38
_cell_length_a 4.6873
_cell_length_b 5.0344
_cell_length_c 12.1714
_cell_angle_alpha 90.00
_cell_angle_beta 90.00
_cell_angle_gamma 90.00
loop_
_symmetry_equiv_pos_as_xyz
'x,y,z'
'-x,-y,z'
'-x,y,z'
'x,-y,z'
'x,y+1/2,z+1/2'
'-x,-y+1/2,z+1/2'
'-x,y+1/2,z+1/2'
'x,-y+1/2,z+1/2'
loop_
_atom_site_label
_atom_site_fract_x
_atom_site_fract_y
_atom_site_fract_z
_atom_site_occupancy
K1 0.0000 0.0000 0.0000 1
K2 0.5000 0.0000 0.3011 1
In1 0.5000 0.0000 0.6003 1
Au1 0.0000 0.0000 0.7077 1

---

Record 9
# NiHgPt2 | Alexandria via LeMat-Bulk | meta-GGA SCAN | PBEsol geometry
# **Fermi-level density of states**: 3.03 states/eV/f.u.
# **Total DFT energy (no corrections)**: -56.052 eV/atom
# **Size of the total moment**: 1.20 μB/f.u.
# **E_form**: 0.13 eV per atom
data_NiHgPt2
_symmetry_space_group_name_H-M 'I -4 m 2'
_symmetry_Int_Tables_number 119
_symmetry_space_group_name_Hall 'I -4 -2'
_cell_length_a 3.9678
_cell_length_b 3.9678
_cell_length_c 7.6661
_cell_angle_alpha 90.00
_cell_angle_beta 90.00
_cell_angle_gamma 90.00
loop_
_atom_site_label
_atom_site_fract_x
_atom_site_fract_y
_atom_site_fract_z
_atom_site_occupancy
Ni1 0.0000 0.0000 0.0000 1
Hg1 0.0000 0.5000 0.7500 1
Pt1 0.0000 0.0000 0.5000 1
Pt2 0.0000 0.5000 0.2500 1

---

Record 10
# SrPb2Br | Alexandria via LeMat-Bulk | meta-GGA SCAN | PBEsol geometry
# **E_form (uncorrected)**: -0.83 eV per atom
# **Fermi-level density of states**: 1.63 states/eV/f.u.
# **Total DFT energy (no corrections)**: -49.153 eV/atom
# **Size of the total moment**: 0.00 μB/f.u.
data_SrPb2Br
_symmetry_space_group_name_H-M 'I 4/m m m'
_symmetry_Int_Tables_number 139
_symmetry_space_group_name_Hall '-I 4 2'
_cell_length_a 4.3977
_cell_length_b 4.3977
_cell_length_c 13.0288
_cell_angle_alpha 90.00
_cell_angle_beta 90.00
_cell_angle_gamma 90.00
loop_
_atom_site_label
_atom_site_fract_x
_atom_site_fract_y
_atom_site_fract_z
_atom_site_occupancy
Sr1 0.0000 0.0000 0.0000 1
Pb1 0.0000 0.5000 0.2500 1
Br1 0.0000 0.0000 0.5000 1

---

Record 11
# CrFeNi | Alexandria via LeMat-Bulk | meta-GGA SCAN | PBEsol geometry
# **Fermi-level density of states**: 1.91 states/eV/f.u.
# **Total DFT energy (no corrections)**: -17.508 eV/atom
# **Size of the total moment**: 0.08 μB/f.u.
# **E_form**: 0.05 eV per atom
data_CrFeNi
_symmetry_space_group_name_H-M 'I 4 m m'
_symmetry_Int_Tables_number 107
_symmetry_space_group_name_Hall 'I 4 -2'
_cell_length_a 2.9071
_cell_length_b 2.9071
_cell_length_c 7.7026
_cell_angle_alpha 90.00
_cell_angle_beta 90.00
_cell_angle_gamma 90.00
loop_
_atom_site_label
_atom_site_fract_x
_atom_site_fract_y
_atom_site_fract_z
_atom_site_occupancy
Cr1 0.0000 0.0000 0.0000 1
Fe1 0.0000 0.0000 0.6522 1
Ni1 0.0000 0.0000 0.3277 1

---

Record 12
# CaY2CdTc | Alexandria via LeMat-Bulk | meta-GGA SCAN | PBEsol geometry
# **Fermi-level density of states**: 5.83 states/eV/f.u.
# **Total DFT energy (no corrections)**: -25.190 eV/atom
# **Size of the total moment**: 2.05 μB/f.u.
# **E_form**: 0.97 eV per atom
data_CaY2CdTc
_symmetry_space_group_name_H-M 'P 4/m m m'
_symmetry_Int_Tables_number 123
_symmetry_space_group_name_Hall '-P 4 2'
_cell_length_a 5.5102
_cell_length_b 5.5102
_cell_length_c 5.3863
_cell_angle_alpha 90.00
_cell_angle_beta 90.00
_cell_angle_gamma 90.00
loop_
_atom_site_label
_atom_site_fract_x
_atom_site_fract_y
_atom_site_fract_z
_atom_site_occupancy
Ca1 0.0000 0.0000 0.0000 1
Y1 0.0000 0.5000 0.5000 1
Cd1 0.0000 0.0000 0.5000 1
Tc1 0.5000 0.5000 0.0000 1

---

Record 13
# CrSi4Mo | Alexandria via LeMat-Bulk | meta-GGA SCAN | PBEsol geometry
# **E_form (uncorrected)**: 0.41 eV per atom
# **Fermi-level density of states**: 3.90 states/eV/f.u.
# **Total DFT energy (no corrections)**: -15.143 eV/atom
# **Size of the total moment**: 3.01 μB/f.u.
data_CrSi4Mo
_symmetry_space_group_name_H-M 'F -4 3 m'
_symmetry_Int_Tables_number 216
_symmetry_space_group_name_Hall 'F -4 2 3'
_cell_length_a 6.7188
_cell_length_b 6.7188
_cell_length_c 6.7188
_cell_angle_alpha 90.00
_cell_angle_beta 90.00
_cell_angle_gamma 90.00
loop_
_atom_site_label
_atom_site_fract_x
_atom_site_fract_y
_atom_site_fract_z
_atom_site_occupancy
Cr1 0.0000 0.0000 0.0000 1
Si1 0.1251 0.1251 0.6251 1
Mo1 0.2500 0.2500 0.2500 1

---

Record 14
# ZrCdCl2 | Alexandria via LeMat-Bulk | meta-GGA SCAN | PBEsol geometry
# **E_form (uncorrected)**: -0.66 eV per atom
# **Fermi-level density of states**: 1.61 states/eV/f.u.
# **Total DFT energy (no corrections)**: -19.931 eV/atom
# **Size of the total moment**: 0.00 μB/f.u.
data_ZrCdCl2
_symmetry_space_group_name_H-M 'C 1 2/m 1'
_symmetry_Int_Tables_number 12
_cell_length_a 6.2299
_cell_length_b 8.9903
_cell_length_c 3.2042
_cell_angle_alpha 90.00
_cell_angle_beta 116.63
_cell_angle_gamma 90.00
loop_
_symmetry_equiv_pos_as_xyz
'x,y,z'
'-x,-y,-z'
'-x,y,-z'
'x,-y,z'
'x+1/2,y+1/2,z'
'-x+1/2,-y+1/2,-z'
'-x+1/2,y+1/2,-z'
'x+1/2,-y+1/2,z'
loop_
_atom_site_label
_atom_site_fract_x
_atom_site_fract_y
_atom_site_fract_z
_atom_site_occupancy
Zr1 0.0000 0.0000 0.0000 1
Cd1 0.0000 0.5000 0.0000 1
Cl1 0.2500 0.2500 0.0000 1

---

Record 15
# SrMgTe3 | Alexandria via LeMat-Bulk | meta-GGA SCAN | PBEsol geometry
# **E_form (uncorrected)**: 0.13 eV per atom
# **Fermi-level density of states**: 3.35 states/eV/f.u.
# **Total DFT energy (no corrections)**: -27.672 eV/atom
# **Size of the total moment**: 2.10 μB/f.u.
data_SrMgTe3
_symmetry_space_group_name_H-M 'P m -3 m'
_symmetry_Int_Tables_number 221
_symmetry_space_group_name_Hall '-P 4 2 3'
_cell_length_a 5.9751
_cell_length_b 5.9751
_cell_length_c 5.9751
_cell_angle_alpha 90.00
_cell_angle_beta 90.00
_cell_angle_gamma 90.00
loop_
_atom_site_label
_atom_site_fract_x
_atom_site_fract_y
_atom_site_fract_z
_atom_site_occupancy
Sr1 0.0000 0.0000 0.0000 1
Mg1 0.5000 0.5000 0.5000 1
Te1 0.0000 0.0000 0.5000 1

---

Record 16
# Zn2CdSb | Alexandria via LeMat-Bulk | meta-GGA SCAN | PBEsol geometry
# **E_form (uncorrected)**: 0.18 eV per atom
# **Fermi-level density of states**: 1.16 states/eV/f.u.
# **Total DFT energy (no corrections)**: -23.499 eV/atom
# **Size of the total moment**: 0.00 μB/f.u.
data_Zn2CdSb
_symmetry_space_group_name_H-M 'R -3 m'
_symmetry_Int_Tables_number 166
_symmetry_space_group_name_Hall '-R 3 2"'
_cell_length_a 3.3569
_cell_length_b 3.3569
_cell_length_c 24.6641
_cell_angle_alpha 90.00
_cell_angle_beta 90.00
_cell_angle_gamma 120.00
loop_
_atom_site_label
_atom_site_fract_x
_atom_site_fract_y
_atom_site_fract_z
_atom_site_occupancy
Zn1 0.0000 0.0000 0.2476 1
Cd1 0.0000 0.0000 0.5000 1
Sb1 0.0000 0.0000 0.0000 1

---

Record 17
# MgSi2Rh | Alexandria via LeMat-Bulk | meta-GGA SCAN | PBEsol geometry
# **E_form (uncorrected)**: -0.05 eV per atom
# **Fermi-level density of states**: 1.49 states/eV/f.u.
# **Total DFT energy (no corrections)**: -14.748 eV/atom
# **Size of the total moment**: 0.00 μB/f.u.
data_MgSi2Rh
_symmetry_space_group_name_H-M 'I -4 2 d'
_symmetry_Int_Tables_number 122
_symmetry_space_group_name_Hall 'I -4 2bw'
_cell_length_a 3.7582
_cell_length_b 3.7582
_cell_length_c 17.4864
_cell_angle_alpha 90.00
_cell_angle_beta 90.00
_cell_angle_gamma 90.00
loop_
_atom_site_label
_atom_site_fract_x
_atom_site_fract_y
_atom_site_fract_z
_atom_site_occupancy
Mg1 0.0000 0.0000 0.0000 1
Si1 0.2337 0.2500 0.6250 1
Rh1 0.0000 0.0000 0.5000 1

---

Record 18
# MgFeI3 | Alexandria via LeMat-Bulk | meta-GGA SCAN | PBEsol geometry
# **E_form (uncorrected)**: 0.05 eV per atom
# **Fermi-level density of states**: 4.34 states/eV/f.u.
# **Total DFT energy (no corrections)**: -26.619 eV/atom
# **Size of the total moment**: 3.25 μB/f.u.
data_MgFeI3
_symmetry_space_group_name_H-M 'P m -3 m'
_symmetry_Int_Tables_number 221
_symmetry_space_group_name_Hall '-P 4 2 3'
_cell_length_a 5.3554
_cell_length_b 5.3554
_cell_length_c 5.3554
_cell_angle_alpha 90.00
_cell_angle_beta 90.00
_cell_angle_gamma 90.00
loop_
_atom_site_label
_atom_site_fract_x
_atom_site_fract_y
_atom_site_fract_z
_atom_site_occupancy
Mg1 0.0000 0.0000 0.0000 1
Fe1 0.5000 0.5000 0.5000 1
I1 0.0000 0.5000 0.5000 1

---

Record 19
# BaTa2Ir | Alexandria via LeMat-Bulk | meta-GGA SCAN | PBEsol geometry
# **Fermi-level density of states**: 3.14 states/eV/f.u.
# **Total DFT energy (no corrections)**: -59.850 eV/atom
# **Size of the total moment**: 0.00 μB/f.u.
# **E_form**: 1.10 eV per atom
data_BaTa2Ir
_symmetry_space_group_name_H-M 'C m m m'
_symmetry_Int_Tables_number 65
_symmetry_space_group_name_Hall '-C 2 2'
_cell_length_a 5.6037
_cell_length_b 9.8482
_cell_length_c 2.9008
_cell_angle_alpha 90.00
_cell_angle_beta 90.00
_cell_angle_gamma 90.00
loop_
_atom_site_label
_atom_site_fract_x
_atom_site_fract_y
_atom_site_fract_z
_atom_site_occupancy
Ba1 0.0000 0.0000 0.0000 1
Ta1 0.2500 0.2500 0.5000 1
Ir1 0.0000 0.5000 0.0000 1

---

Record 20
# TlPdICl2 | Alexandria via LeMat-Bulk | meta-GGA SCAN | PBEsol geometry
# **E_form (uncorrected)**: 0.09 eV per atom
# **Fermi-level density of states**: 2.27 states/eV/f.u.
# **Total DFT energy (no corrections)**: -31.471 eV/atom
# **Size of the total moment**: 0.68 μB/f.u.
data_TlPdICl2
_symmetry_space_group_name_H-M 'P 4/m m m'
_symmetry_Int_Tables_number 123
_symmetry_space_group_name_Hall '-P 4 2'
_cell_length_a 5.0384
_cell_length_b 5.0384
_cell_length_c 6.2185
_cell_angle_alpha 90.00
_cell_angle_beta 90.00
_cell_angle_gamma 90.00
loop_
_atom_site_label
_atom_site_fract_x
_atom_site_fract_y
_atom_site_fract_z
_atom_site_occupancy
Tl1 0.0000 0.0000 0.0000 1
Pd1 0.5000 0.5000 0.5000 1
I1 0.0000 0.0000 0.5000 1
Cl1 0.0000 0.5000 0.0000 1